(1)
A plane-wave DFT calculation with PBE was carried out for a geometry-optimized Sn2SN structure.

Geometry as CIF:
```
data_Sn2SN
_chemical_formula_sum 'Sn8 S4 N4'
_cell_length_a 6.559
_cell_length_b 6.559
_cell_length_c 7.889
_cell_angle_alpha 90.00
_cell_angle_beta 90.00
_cell_angle_gamma 90.00
_symmetry_space_group_name_H-M 'I -4 2 d'
_symmetry_Int_Tables_number 122
_symmetry_space_group_name_Hall 'I -4 2bw'
loop_
_atom_site_label
_atom_site_type_symbol
_atom_site_fract_x
_atom_site_fract_y
_atom_site_fract_z
Sn1 Sn 0.189 0.250 0.125
S1 S 0.000 0.000 0.500
N1 N 0.000 0.000 0.000
```

Calculated values
formation energy from raw total energies: 0.207 eV per atom
total energy: -0.1804 hartree per atom
density of states at the Fermi level: 6.2 states/eV/cell
volume: 84.8 Å³/f.u.


(2)
A plane-wave DFT calculation with PBE was carried out for a geometry-optimized Li2ZrTe structure.

Geometry as CIF:
```
data_Li2ZrTe
_chemical_formula_sum 'Li4 Zr2 Te2'
_cell_length_a 3.478
_cell_length_b 5.204
_cell_length_c 9.885
_cell_angle_alpha 90.00
_cell_angle_beta 90.00
_cell_angle_gamma 90.00
_symmetry_space_group_name_H-M 'C m m m'
_symmetry_Int_Tables_number 65
_symmetry_space_group_name_Hall '-C 2 2'
loop_
_atom_site_label
_atom_site_type_symbol
_atom_site_fract_x
_atom_site_fract_y
_atom_site_fract_z
Li1 Li 0.000 0.000 0.228
Zr1 Zr 0.000 0.500 0.500
Te1 Te 0.000 0.500 0.000
```

Calculated values
formation energy from raw total energies: -0.046 eV per atom
total energy: -0.1442 hartree per atom
density of states at the Fermi level: 5.8 states/eV/cell
volume: 89.4 Å³/f.u.


(3)
A plane-wave DFT calculation with PBE was carried out for a geometry-optimized SrCoIr2 structure.

Geometry as CIF:
```
data_SrCoIr2
_chemical_formula_sum 'Sr4 Co4 Ir8'
_cell_length_a 6.554
_cell_length_b 6.554
_cell_length_c 6.554
_cell_angle_alpha 90.00
_cell_angle_beta 90.00
_cell_angle_gamma 90.00
_symmetry_space_group_name_H-M 'F m -3 m'
_symmetry_Int_Tables_number 225
_symmetry_space_group_name_Hall '-F 4 2 3'
loop_
_atom_site_label
_atom_site_type_symbol
_atom_site_fract_x
_atom_site_fract_y
_atom_site_fract_z
Sr1 Sr 0.000 0.000 0.000
Co1 Co 0.000 0.000 0.500
Ir1 Ir 0.250 0.250 0.250
```

Calculated values
total energy: -0.2169 hartree per atom
density of states at the Fermi level: 32.0 states/eV/cell
volume: 70.4 Å³/f.u.
E_form: 725 meV/atom